(1)
This record from Alexandria describes AgPt3 at its PBEsol-relaxed geometry. The functional is SCAN.

As for the density of states at the Fermi level: 1.151 states/eV/atom. The value obtained for the total energy is -241.79 eV/f.u.

POSCAR file:
```
AgPt3
1.0
-2.3623 0.6899 -1.2070
-0.6341 -4.4284 1.8221
-1.2540 2.5763 3.9267
Pt Ag
3 1
direct
0.7524 0.5047 0.2547
0.5000 0.0000 0.5000
0.2476 0.4953 0.7453
0.0000 0.0000 0.0000
```

***

(2)
This record from Alexandria describes CaSnAs2Se at its PBEsol-relaxed geometry. The functional is SCAN.

As for the density of states at the Fermi level: 0.873 states/eV/atom. The value obtained for the total energy is -105.81 eV/f.u.

POSCAR file:
```
CaSnAs2Se
1.0
5.1582 0.0000 0.0000
0.0000 5.1582 0.0000
0.0000 0.0000 5.2995
As Ca Sn Se
2 1 1 1
direct
0.0000 0.5000 0.0000
0.5000 0.0000 0.0000
0.5000 0.5000 0.5000
0.0000 0.0000 0.0000
0.0000 0.0000 0.5000
```

***

What did the first record say?
This record from Alexandria describes AgPt3 at its PBEsol-relaxed geometry. The functional is SCAN.

As for the density of states at the Fermi level: 1.151 states/eV/atom. The value obtained for the total energy is -241.79 eV/f.u.

POSCAR file:
```
AgPt3
1.0
-2.3623 0.6899 -1.2070
-0.6341 -4.4284 1.8221
-1.2540 2.5763 3.9267
Pt Ag
3 1
direct
0.7524 0.5047 0.2547
0.5000 0.0000 0.5000
0.2476 0.4953 0.7453
0.0000 0.0000 0.0000
```